*1*
## NiTeIr2 (PBE)

Data for crystalline NiTeIr2 at its relaxed geometry.

a = 8.716 Å, b = 3.036 Å, c = 4.818 Å
α = 90.00°, β = 100.81°, γ = 90.00°
Space group C2/m (No. 12)
One atom of each set of equivalent atoms:
Ni  0.000  0.000  0.000 [2 per cell]
Te  0.000  0.500  0.500 [2 per cell]
Ir  0.246  0.500  0.231 [4 per cell]

The calculated volume comes out at 15.65 Å³ per atom.

***

*2*
## NiTeIr2 (PBE)

Data for crystalline NiTeIr2 at its relaxed geometry.

a = 3.091 Å, b = 3.516 Å, c = 5.739 Å
α = 90.00°, β = 90.00°, γ = 90.00°
Space group Pmmm (No. 47)
One atom of each set of equivalent atoms:
Ni  0.000  0.000  0.000 [1 per cell]
Te  0.000  0.000  0.500 [1 per cell]
Ir  0.500  0.500  0.227 [2 per cell]

The calculated volume comes out at 15.59 Å³ per atom.

***

*3*
## NiTeIr2 (PBE)

Data for crystalline NiTeIr2 at its relaxed geometry.

a = 2.9992 Å, b = 2.9992 Å, c = 24.7887 Å
α = 90.00°, β = 90.00°, γ = 120.00°
Space group R-3m (No. 166, hexagonal axes)
One atom of each set of equivalent atoms:
Ni  0.0000  0.0000  0.0000 [3 per cell]
Te  0.0000  0.0000  0.5000 [3 per cell]
Ir  0.0000  0.0000  0.2557 [6 per cell]

The calculated volume comes out at 16.09 Å³ per atom.

***

*4*
## NiTeIr2 (PBE)

Data for crystalline NiTeIr2 at its relaxed geometry.

a = 4.025 Å, b = 4.025 Å, c = 3.808 Å
α = 90.00°, β = 90.00°, γ = 90.00°
Space group P4/mmm (No. 123)
One atom of each set of equivalent atoms:
Ni  0.000  0.000  0.000 [1 per cell]
Te  0.500  0.500  0.000 [1 per cell]
Ir  0.000  0.500  0.500 [2 per cell]

The calculated volume comes out at 15.43 Å³ per atom.

***

If you had to name the least stable structure above, which would it be? It would be *3*.